# Pr2AgP3Pd4 PBE optimized geometry
# DFT formation energy = -7.97 eV per formula unit
# final energy = -5.74 eV per atom
# crystal system = tetragonal
# DOS(E_F) = 4.784 states/eV/f.u.
data_Pr2AgP3Pd4
_space_group_name_H-M_alt 'P -4 m 2'
_space_group_IT_number 115
_space_group_name_Hall 'P -4 -2'
_cell_length_a 4.193
_cell_length_b 4.193
_cell_length_c 10.538
_cell_angle_alpha 90.00
_cell_angle_beta 90.00
_cell_angle_gamma 90.00
loop_
_atom_site_label
_atom_site_type_symbol
_atom_site_fract_x
_atom_site_fract_y
_atom_site_fract_z
Pr1 Pr 0.000 0.500 0.238
Ag1 Ag 0.000 0.000 0.500
P1 P 0.000 0.500 0.870
P2 P 0.500 0.500 0.500
Pd1 Pd 0.000 0.000 0.000
Pd2 Pd 0.000 0.500 0.650
Pd3 Pd 0.500 0.500 0.000

=====

# TiBeRh PBE optimized geometry
# DFT formation energy = -1.56 eV per formula unit
# final energy = -6.84 eV per atom
# crystal system = orthorhombic
# DOS(E_F) = 1.213 states/eV/f.u.
# E above lowest polymorph = 5.2 kJ per mole of atoms
data_TiBeRh
_space_group_name_H-M_alt 'C m c m'
_space_group_IT_number 63
_space_group_name_Hall '-C 2c 2'
_cell_length_a 2.879
_cell_length_b 15.824
_cell_length_c 3.365
_cell_angle_alpha 90.00
_cell_angle_beta 90.00
_cell_angle_gamma 90.00
loop_
_atom_site_label
_atom_site_type_symbol
_atom_site_fract_x
_atom_site_fract_y
_atom_site_fract_z
Ti1 Ti 0.000 0.196 0.250
Be1 Be 0.000 0.037 0.250
Rh1 Rh 0.000 0.411 0.250

=====

# PrHoInGa PBE optimized geometry
# DFT formation energy = -1.96 eV per formula unit
# final energy = -4.27 eV per atom
# crystal system = cubic
# DOS(E_F) = 1.257 states/eV/f.u.
# E above lowest polymorph = 2.8 kJ per mole of atoms
data_PrHoInGa
_space_group_name_H-M_alt 'F -4 3 m'
_space_group_IT_number 216
_space_group_name_Hall 'F -4 2 3'
_cell_length_a 7.486
_cell_length_b 7.486
_cell_length_c 7.486
_cell_angle_alpha 90.00
_cell_angle_beta 90.00
_cell_angle_gamma 90.00
loop_
_atom_site_label
_atom_site_type_symbol
_atom_site_fract_x
_atom_site_fract_y
_atom_site_fract_z
Pr1 Pr 0.000 0.000 0.000
Ho1 Ho 0.000 0.000 0.500
In1 In 0.250 0.250 0.250
Ga1 Ga 0.250 0.250 0.750